A plane-wave DFT calculation with GGA-PBE was carried out for a relaxed PmNdEuIr crystal.

Lattice parameters (Å, degrees): 7.438 7.438 7.438 90.00 90.00 90.00
Space group F-43m (No. 216)
Symmetry-distinct sites (fractional):
1 Pm 0.000 0.000 0.000 x4
2 Nd 0.000 0.000 0.500 x4
3 Eu 0.250 0.250 0.750 x4
4 Ir 0.250 0.250 0.250 x4

Properties
Total magnetic moment = 7.40 μB per formula unit
Energy relative to the elements = -6.1 kJ/mol of atoms

---

A plane-wave DFT calculation with GGA-PBE was carried out for a relaxed NdEuIrPt crystal.

Lattice parameters (Å, degrees): 7.122 7.122 7.122 90.00 90.00 90.00
Space group F-43m (No. 216)
Symmetry-distinct sites (fractional):
1 Nd 0.000 0.000 0.000 x4
2 Eu 0.000 0.000 0.500 x4
3 Ir 0.250 0.250 0.250 x4
4 Pt 0.250 0.250 0.750 x4

Properties
Total magnetic moment = 6.70 μB per formula unit
Energy relative to the elements = -66.0 kJ/mol of atoms

---

A plane-wave DFT calculation with GGA-PBE was carried out for a relaxed NdEuZnIr crystal.

Lattice parameters (Å, degrees): 7.188 7.188 7.188 90.00 90.00 90.00
Space group F-43m (No. 216)
Symmetry-distinct sites (fractional):
1 Nd 0.000 0.000 0.000 x4
2 Eu 0.000 0.000 0.500 x4
3 Zn 0.250 0.250 0.250 x4
4 Ir 0.250 0.250 0.750 x4

Properties
Total magnetic moment = 6.92 μB per formula unit
Energy relative to the elements = -36.7 kJ/mol of atoms

---

A plane-wave DFT calculation with GGA-PBE was carried out for a relaxed EuPaNiIr crystal.

Lattice parameters (Å, degrees): 6.894 6.894 6.894 90.00 90.00 90.00
Space group F-43m (No. 216)
Symmetry-distinct sites (fractional):
1 Eu 0.000 0.000 0.000 x4
2 Pa 0.000 0.000 0.500 x4
3 Ni 0.250 0.250 0.250 x4
4 Ir 0.250 0.250 0.750 x4

Properties
Total magnetic moment = 7.00 μB per formula unit
Energy relative to the elements = -27.6 kJ/mol of atoms

---

A plane-wave DFT calculation with GGA-PBE was carried out for a relaxed PrEuNiIr crystal.

Lattice parameters (Å, degrees): 7.053 7.053 7.053 90.00 90.00 90.00
Space group F-43m (No. 216)
Symmetry-distinct sites (fractional):
1 Pr 0.000 0.000 0.000 x4
2 Eu 0.000 0.000 0.500 x4
3 Ni 0.250 0.250 0.750 x4
4 Ir 0.250 0.250 0.250 x4

Properties
Total magnetic moment = 6.71 μB per formula unit
Energy relative to the elements = -27.4 kJ/mol of atoms

---

A plane-wave DFT calculation with GGA-PBE was carried out for a relaxed TbEuNiIr crystal.

Lattice parameters (Å, degrees): 6.911 6.911 6.911 90.00 90.00 90.00
Space group F-43m (No. 216)
Symmetry-distinct sites (fractional):
1 Tb 0.000 0.000 0.000 x4
2 Eu 0.000 0.000 0.500 x4
3 Ni 0.250 0.250 0.750 x4
4 Ir 0.250 0.250 0.250 x4

Properties
Total magnetic moment = 6.73 μB per formula unit
Energy relative to the elements = -36.3 kJ/mol of atoms

---

A plane-wave DFT calculation with GGA-PBE was carried out for a relaxed EuTmNiIr crystal.

Lattice parameters (Å, degrees): 6.846 6.846 6.846 90.00 90.00 90.00
Space group F-43m (No. 216)
Symmetry-distinct sites (fractional):
1 Eu 0.000 0.000 0.000 x4
2 Tm 0.000 0.000 0.500 x4
3 Ni 0.250 0.250 0.250 x4
4 Ir 0.250 0.250 0.750 x4

Properties
Total magnetic moment = 6.74 μB per formula unit
Energy relative to the elements = -39.3 kJ/mol of atoms

---

A plane-wave DFT calculation with GGA-PBE was carried out for a relaxed EuZrNiIr crystal.

Lattice parameters (Å, degrees): 6.734 6.734 6.734 90.00 90.00 90.00
Space group F-43m (No. 216)
Symmetry-distinct sites (fractional):
1 Eu 0.000 0.000 0.000 x4
2 Zr 0.000 0.000 0.500 x4
3 Ni 0.250 0.250 0.250 x4
4 Ir 0.250 0.250 0.750 x4

Properties
Total magnetic moment = 7.08 μB per formula unit
Energy relative to the elements = -28.2 kJ/mol of atoms

---

A plane-wave DFT calculation with GGA-PBE was carried out for a relaxed EuNpIr crystal.

Lattice parameters (Å, degrees): 3.589 3.589 11.610 90.00 90.00 90.00
Space group I4mm (No. 107)
Symmetry-distinct sites (fractional):
1 Eu 0.000 0.000 0.000 x2
2 Np 0.000 0.000 0.279 x2
3 Ir 0.000 0.000 0.682 x2

Properties
Total magnetic moment = 3.29 μB per formula unit
Energy relative to the elements = -3.8 kJ/mol of atoms

---

A plane-wave DFT calculation with GGA-PBE was carried out for a relaxed EuNpIrPd crystal.

Lattice parameters (Å, degrees): 6.984 6.984 6.984 90.00 90.00 90.00
Space group F-43m (No. 216)
Symmetry-distinct sites (fractional):
1 Eu 0.000 0.000 0.000 x4
2 Np 0.000 0.000 0.500 x4
3 Ir 0.250 0.250 0.250 x4
4 Pd 0.250 0.250 0.750 x4

Properties
Total magnetic moment = 10.54 μB per formula unit
Energy relative to the elements = -27.3 kJ/mol of atoms

---

A plane-wave DFT calculation with GGA-PBE was carried out for a relaxed Eu3IrO7 crystal.

Lattice parameters (Å, degrees): 10.862 7.484 7.531 90.00 90.00 90.00
Space group Cmcm (No. 63)
Symmetry-distinct sites (fractional):
1 Eu 0.000 0.000 0.000 x4
2 Eu 0.229 0.293 0.250 x8
3 Ir 0.000 0.500 0.000 x4
4 O 0.000 0.412 0.250 x4
5 O 0.126 0.316 0.539 x16
6 O 0.133 0.024 0.250 x8

Properties
Uncorrected formation energy = -2.162 eV/atom
Total magnetic moment = 16.19 μB per formula unit

---

A plane-wave DFT calculation with GGA-PBE was carried out for a relaxed EuIrO3 crystal.

Lattice parameters (Å, degrees): 4.001 4.001 4.001 90.00 90.00 90.00
Space group Pm-3m (No. 221)
Symmetry-distinct sites (fractional):
1 Eu 0.000 0.000 0.000 x1
2 Ir 0.500 0.500 0.500 x1
3 O 0.000 0.500 0.500 x3

Properties
Uncorrected formation energy = -1.467 eV/atom
Total magnetic moment = 6.29 μB per formula unit

---

A plane-wave DFT calculation with GGA-PBE was carried out for a relaxed EuP2Ir crystal.

Lattice parameters (Å, degrees): 3.9188 3.9188 16.4966 90.00 90.00 120.00
Space group R-3m (No. 166, hexagonal axes)
Symmetry-distinct sites (fractional):
1 Eu 0.0000 0.0000 0.0000 x3
2 P 0.0000 0.0000 0.2240 x6
3 Ir 0.0000 0.0000 0.5000 x3

Properties
Total magnetic moment = 6.57 μB per formula unit
Energy relative to the elements = -85.9 kJ/mol of atoms

---

A plane-wave DFT calculation with GGA-PBE was carried out for a relaxed EuPaIr4 crystal.

Lattice parameters (Å, degrees): 7.610 7.610 7.610 90.00 90.00 90.00
Space group F-43m (No. 216)
Symmetry-distinct sites (fractional):
1 Eu 0.000 0.000 0.000 x4
2 Pa 0.250 0.250 0.750 x4
3 Ir 0.125 0.125 0.375 x16

Properties
Total magnetic moment = 7.06 μB per formula unit
Energy relative to the elements = -62.6 kJ/mol of atoms

---

A plane-wave DFT calculation with GGA-PBE was carried out for a relaxed EuPaIr2 crystal.

Lattice parameters (Å, degrees): 6.952 6.952 6.952 90.00 90.00 90.00
Space group Fm-3m (No. 225)
Symmetry-distinct sites (fractional):
1 Eu 0.000 0.000 0.000 x4
2 Pa 0.000 0.000 0.500 x4
3 Ir 0.250 0.250 0.250 x8

Properties
Total magnetic moment = 7.07 μB per formula unit
Relative energy among the computed polymorphs = 176 meV/atom
Energy relative to the elements = -47.5 kJ/mol of atoms

---

A plane-wave DFT calculation with GGA-PBE was carried out for a relaxed EuPa2Ir crystal.

Lattice parameters (Å, degrees): 3.7076 3.7076 27.9891 90.00 90.00 120.00
Space group R-3m (No. 166, hexagonal axes)
Symmetry-distinct sites (fractional):
1 Eu 0.0000 0.0000 0.0000 x3
2 Pa 0.0000 0.0000 0.2302 x6
3 Ir 0.0000 0.0000 0.5000 x3

Properties
Total magnetic moment = 7.35 μB per formula unit
Energy relative to the elements = -9.0 kJ/mol of atoms

---

A plane-wave DFT calculation with GGA-PBE was carried out for a relaxed EuPaIr2 crystal.

Lattice parameters (Å, degrees): 3.492 3.492 7.273 90.00 90.00 90.00
Space group P4/mmm (No. 123)
Symmetry-distinct sites (fractional):
1 Eu 0.000 0.000 0.000 x1
2 Pa 0.000 0.000 0.500 x1
3 Ir 0.500 0.500 0.296 x2

Properties
Total magnetic moment = 6.97 μB per formula unit
Relative energy among the computed polymorphs = 0 meV/atom
Energy relative to the elements = -64.5 kJ/mol of atoms

---

A plane-wave DFT calculation with GGA-PBE was carried out for a relaxed EuPaZnIr crystal.

Lattice parameters (Å, degrees): 7.055 7.055 7.055 90.00 90.00 90.00
Space group F-43m (No. 216)
Symmetry-distinct sites (fractional):
1 Eu 0.000 0.000 0.000 x4
2 Pa 0.000 0.000 0.500 x4
3 Zn 0.250 0.250 0.750 x4
4 Ir 0.250 0.250 0.250 x4

Properties
Total magnetic moment = 7.27 μB per formula unit
Energy relative to the elements = -21.4 kJ/mol of atoms

---

A plane-wave DFT calculation with GGA-PBE was carried out for a relaxed Eu3IrPb crystal.

Lattice parameters (Å, degrees): 5.554 5.554 5.554 90.00 90.00 90.00
Space group Pm-3m (No. 221)
Symmetry-distinct sites (fractional):
1 Eu 0.000 0.000 0.500 x3
2 Ir 0.000 0.000 0.000 x1
3 Pb 0.500 0.500 0.500 x1

Properties
Total magnetic moment = 20.43 μB per formula unit
Energy relative to the elements = -33.4 kJ/mol of atoms

---

A plane-wave DFT calculation with GGA-PBE was carried out for a relaxed EuIr4Pb crystal.

Lattice parameters (Å, degrees): 7.647 7.647 7.647 90.00 90.00 90.00
Space group F-43m (No. 216)
Symmetry-distinct sites (fractional):
1 Eu 0.000 0.000 0.000 x4
2 Ir 0.125 0.125 0.375 x16
3 Pb 0.250 0.250 0.750 x4

Properties
Total magnetic moment = 5.81 μB per formula unit
Energy relative to the elements = -9.3 kJ/mol of atoms